1.
## UVCo (GGA-PBE)

Data for an optimized crystal structure of UVCo.

Its density of states at the Fermi level is 6.4 states/eV/cell. The energy above the most stable polymorph in this dataset comes out at 56 kJ/mol of formula units. The formation energy comes out at 30.9 kJ per mole of atoms.

The structure belongs to space group Pmmn (No. 59, origin choice 2); the cell edges are 3.044, 3.840 and 8.145 Å and the angles 90.00°, 90.00° and 90.00°. Symmetry generates all atoms from U at (0.250, 0.250, 0.246), V at (0.250, 0.750, 0.429) and Co at (0.250, 0.750, 0.986).

---

2.
## CaCdCl2 (GGA-PBE)

Data for an optimized crystal structure of CaCdCl2.

For the formation energy without anion corrections, the calculation gives -1638 meV per atom. Its density of states at the Fermi level is 0.0 states/eV/cell. The energy above the most stable polymorph in this dataset comes out at 0 kJ/mol of formula units.

The structure belongs to space group Cm (No. 8); the cell edges are 7.059, 4.074 and 10.504 Å and the angles 90.00°, 102.53° and 90.00°. Symmetry generates all atoms from Ca at (0.000, 0.000, 0.000), Cd at (0.194, 0.000, 0.500), Cl at (0.122, 0.500, 0.860) and Cl at (0.378, 0.000, 0.139).

---

3.
## NaBiTe2 (GGA-PBE)

Data for an optimized crystal structure of NaBiTe2.

For the formation energy without anion corrections, the calculation gives -385 meV per atom. Its density of states at the Fermi level is 0.0 states/eV/cell.

The structure belongs to space group I-42d (No. 122); the cell edges are 7.203, 7.203 and 13.982 Å and the angles 90.00°, 90.00° and 90.00°. Symmetry generates all atoms from Na at (0.000, 0.000, 0.000), Bi at (0.000, 0.000, 0.500) and Te at (0.239, 0.250, 0.625).

---

4.
## NpGaO5 (GGA-PBE)

Data for an optimized crystal structure of NpGaO5.

For the formation energy without anion corrections, the calculation gives -2017 meV per atom.

The structure belongs to space group Immm (No. 71); the cell edges are 4.097, 6.469 and 7.658 Å and the angles 90.00°, 90.00° and 90.00°. Symmetry generates all atoms from Np at (0.000, 0.000, 0.000), Ga at (0.000, 0.000, 0.500), O at (0.000, 0.000, 0.271), O at (0.000, 0.295, 0.000) and O at (0.000, 0.500, 0.500).

---

5.
## LaRuO2 (GGA-PBE)

Data for an optimized crystal structure of LaRuO2.

For the formation energy without anion corrections, the calculation gives -1508 meV per atom. Its density of states at the Fermi level is 10.5 states/eV/cell. The energy above the most stable polymorph in this dataset comes out at 98 kJ/mol of formula units.

The structure belongs to space group I-42d (No. 122); the cell edges are 4.453, 4.453 and 12.664 Å and the angles 90.00°, 90.00° and 90.00°. Symmetry generates all atoms from La at (0.000, 0.000, 0.000), Ru at (0.000, 0.000, 0.500) and O at (0.183, 0.250, 0.625).

---

Question: Which formula does entry 5 have?
Answer: LaRuO2